1.
Here is a geometry-optimized BaScCdAu structure from OQMD via LeMat-Bulk. Energies are from PBE-GGA.

Results
SG: F-43m (216)
E_tot in eV per atom: -3.19

Cell: 5.241 5.241 5.241 Å, 60.00 60.00 60.00°
Element x y z (fractional)
Au (0.750, 0.750, 0.750)
Cd (0.000, 0.000, 0.000)
Ba (0.500, 0.500, 0.500)
Sc (0.250, 0.250, 0.250)

2.
Here is a geometry-optimized MgNpOs structure from OQMD via LeMat-Bulk. Energies are from PBE-GGA.

Results
SG: F-43m (216)
E_tot in eV per atom: -8.16

Cell: 4.518 4.518 4.518 Å, 60.00 60.00 60.00°
Element x y z (fractional)
Os (0.000, 0.000, 0.000)
Mg (0.250, 0.250, 0.250)
Np (0.750, 0.750, 0.750)

3.
Here is a geometry-optimized Ba2Zn3Ag structure from OQMD via LeMat-Bulk. Energies are from PBE-GGA.

Results
SG: Cm (8)
E_tot in eV per atom: -1.95

Cell: 6.235 6.235 8.040 Å, 129.90 129.90 46.66°
Element x y z (fractional)
Zn (0.661, 0.661, 0.088)
Zn (0.670, 0.670, 0.744)
Zn (0.333, 0.333, 0.900)
Ag (0.336, 0.336, 0.269)
Ba (0.054, 0.054, 0.305)
Ba (0.946, 0.946, 0.694)

4.
Here is a geometry-optimized ScCoNiGe structure from OQMD via LeMat-Bulk. Energies are from PBE-GGA.

Results
SG: F-43m (216)
E_tot in eV per atom: -6.39

Cell: 4.234 4.234 4.234 Å, 60.00 60.00 60.00°
Element x y z (fractional)
Sc (0.500, 0.500, 0.500)
Co (0.750, 0.750, 0.750)
Ge (0.000, 0.000, 0.000)
Ni (0.250, 0.250, 0.250)

5.
Here is a geometry-optimized TmZr2Al3NiAu2 structure from OQMD via LeMat-Bulk. Energies are from PBE-GGA.

Results
SG: Amm2 (38)
E_tot in eV per atom: -5.67

Cell: 4.061 6.871 6.871 Å, 119.79 90.00 90.00°
Element x y z (fractional)
Zr (0.000, 0.604, 0.001)
Zr (0.000, 0.001, 0.604)
Ni (0.000, 0.992, 0.992)
Al (0.500, 0.233, 0.996)
Al (0.500, 0.767, 0.767)
Al (0.500, 0.996, 0.233)
Tm (0.000, 0.403, 0.403)
Au (0.500, 0.334, 0.670)
Au (0.500, 0.670, 0.334)

6.
Here is a geometry-optimized LuFeBIr structure from OQMD via LeMat-Bulk. Energies are from PBE-GGA.

Results
SG: F-43m (216)
E_tot in eV per atom: -6.79

Cell: 4.250 4.250 4.250 Å, 60.00 60.00 60.00°
Element x y z (fractional)
Fe (0.750, 0.750, 0.750)
Lu (0.500, 0.500, 0.500)
Ir (0.250, 0.250, 0.250)
B (0.000, 0.000, 0.000)

7.
Here is a geometry-optimized PaSiSn structure from OQMD via LeMat-Bulk. Energies are from PBE-GGA.

Results
SG: F-43m (216)
E_tot in eV per atom: -6.21

Cell: 4.705 4.705 4.705 Å, 60.00 60.00 60.00°
Element x y z (fractional)
Si (0.000, 0.000, 0.000)
Pa (0.250, 0.250, 0.250)
Sn (0.750, 0.750, 0.750)

8.
Here is a geometry-optimized HfCdAsO structure from OQMD via LeMat-Bulk. Energies are from PBE-GGA.

Results
SG: P4/nmm (129)
E_tot in eV per atom: -5.65

Cell: 4.489 4.489 8.193 Å, 90.00 90.00 90.00°
Element x y z (fractional)
Cd (0.750, 0.750, 0.947)
Cd (0.250, 0.250, 0.053)
O (0.750, 0.250, 0.000)
O (0.250, 0.750, 0.000)
Hf (0.750, 0.250, 0.500)
Hf (0.250, 0.750, 0.500)
As (0.250, 0.250, 0.667)
As (0.750, 0.750, 0.333)

9.
Here is a geometry-optimized PmNdS3 structure from OQMD via LeMat-Bulk. Energies are from PBE-GGA.

Results
SG: P3m1 (156)
E_tot in eV per atom: -6.37

Cell: 4.509 4.509 7.218 Å, 90.00 90.00 120.00°
Element x y z (fractional)
S (0.667, 0.333, 0.360)
S (0.000, 0.000, 0.644)
S (0.333, 0.667, 0.999)
Pm (0.667, 0.333, 0.759)
Nd (0.000, 0.000, 0.238)

10.
Here is a geometry-optimized LuBiPt structure from OQMD via LeMat-Bulk. Energies are from PBE-GGA.

Results
SG: P6_3/mmc (194)
E_tot in eV per atom: -5.24

Cell: 5.136 5.136 5.961 Å, 90.00 90.00 120.00°
Element x y z (fractional)
Bi (0.333, 0.667, 0.250)
Bi (0.667, 0.333, 0.750)
Pt (0.000, 0.000, 0.500)
Pt (0.000, 0.000, 0.000)
Lu (0.333, 0.667, 0.750)
Lu (0.667, 0.333, 0.250)

11.
Here is a geometry-optimized HoPb2 structure from OQMD via LeMat-Bulk. Energies are from PBE-GGA.

Results
SG: Fd-3m (227)
E_tot in eV per atom: -4.01

Cell: 6.359 6.359 6.359 Å, 60.00 60.00 60.00°
Element x y z (fractional)
Ho (0.000, 0.000, 0.000)
Ho (0.250, 0.250, 0.250)
Pb (0.625, 0.625, 0.625)
Pb (0.125, 0.625, 0.625)
Pb (0.625, 0.625, 0.125)
Pb (0.625, 0.125, 0.625)

12.
Here is a geometry-optimized KDyCdS3 structure from OQMD via LeMat-Bulk. Energies are from PBE-GGA.

Results
SG: Pnma (62)
E_tot in eV per atom: -4.52

Cell: 11.883 4.128 12.306 Å, 90.00 90.00 90.00°
Element x y z (fractional)
S (0.951, 0.000, 0.183)
S (0.733, 0.500, 0.336)
S (0.451, 0.000, 0.317)
S (0.233, 0.500, 0.164)
S (0.089, 0.000, 0.431)
S (0.049, 0.500, 0.817)
S (0.911, 0.500, 0.569)
S (0.549, 0.500, 0.683)
S (0.267, 0.000, 0.664)
S (0.411, 0.500, 0.931)
S (0.589, 0.000, 0.069)
S (0.767, 0.000, 0.836)
Cd (0.237, 0.000, 0.285)
Cd (0.737, 0.000, 0.215)
Cd (0.263, 0.500, 0.785)
Cd (0.763, 0.500, 0.715)
K (0.352, 0.500, 0.496)
K (0.648, 0.000, 0.504)
K (0.852, 0.500, 0.004)
K (0.148, 0.000, 0.996)
Dy (0.961, 0.500, 0.339)
Dy (0.039, 0.000, 0.661)
Dy (0.539, 0.000, 0.839)
Dy (0.461, 0.500, 0.161)